No. 1
An optimized crystal structure of CdSeCl2. Source: Alexandria via LeMat-Bulk, functional PBE.

* ΔE_f (raw): -0.0860 eV per atom
* excess energy over the best structure of this formula in the dataset: 451 meV/atom

```
data_CdSeCl2
_chemical_formula_sum 'Cd1 Se1 Cl2'
_cell_length_a 3.380
_cell_length_b 3.380
_cell_length_c 8.394
_cell_angle_alpha 90.00
_cell_angle_beta 90.00
_cell_angle_gamma 90.00
_space_group_name_H-M_alt 'P 4 m m'
_space_group_IT_number 99
loop_
_space_group_symop_operation_xyz
'x,y,z'
'-y,x,z'
'-x,-y,z'
'y,-x,z'
'-x,y,z'
'y,x,z'
'x,-y,z'
'-y,-x,z'
loop_
_atom_site_label
_atom_site_type_symbol
_atom_site_fract_x
_atom_site_fract_y
_atom_site_fract_z
Cd1 Cd 0.000 0.000 0.000
Se1 Se 0.500 0.500 0.770
Cl1 Cl 0.000 0.000 0.570
Cl2 Cl 0.500 0.500 0.180
```


No. 2
An optimized crystal structure of Zr3NbRh2. Source: Alexandria via LeMat-Bulk, functional PBE.

* formation energy: -526 meV/atom

```
data_Zr3NbRh2
_chemical_formula_sum 'Zr3 Nb1 Rh2'
_cell_length_a 3.352
_cell_length_b 3.352
_cell_length_c 10.010
_cell_angle_alpha 90.00
_cell_angle_beta 90.00
_cell_angle_gamma 90.00
_space_group_name_H-M_alt 'P 4/m m m'
_space_group_IT_number 123
_space_group_name_Hall '-P 4 2'
loop_
_atom_site_label
_atom_site_type_symbol
_atom_site_fract_x
_atom_site_fract_y
_atom_site_fract_z
Zr1 Zr 0.000 0.000 0.000
Zr2 Zr 0.000 0.000 0.325
Nb1 Nb 0.500 0.500 0.500
Rh1 Rh 0.500 0.500 0.155
```


No. 3
An optimized crystal structure of Fe2SiPdW. Source: Alexandria via LeMat-Bulk, functional PBE.

* ΔE_f (raw): 1.3306 eV per atom

```
data_Fe2SiPdW
_chemical_formula_sum 'Fe2 Si1 Pd1 W1'
_cell_length_a 4.471
_cell_length_b 4.471
_cell_length_c 4.702
_cell_angle_alpha 90.00
_cell_angle_beta 90.00
_cell_angle_gamma 90.00
_space_group_name_H-M_alt 'P 4/m m m'
_space_group_IT_number 123
_space_group_name_Hall '-P 4 2'
loop_
_atom_site_label
_atom_site_type_symbol
_atom_site_fract_x
_atom_site_fract_y
_atom_site_fract_z
Fe1 Fe 0.000 0.500 0.000
Si1 Si 0.000 0.000 0.500
Pd1 Pd 0.500 0.500 0.500
W1 W 0.000 0.000 0.000
```


No. 4
An optimized crystal structure of LiSc4Ir. Source: Alexandria via LeMat-Bulk, functional PBE.

* formation energy: 388 meV/atom

```
data_LiSc4Ir
_chemical_formula_sum 'Li4 Sc16 Ir4'
_cell_length_a 7.904
_cell_length_b 7.904
_cell_length_c 7.904
_cell_angle_alpha 90.00
_cell_angle_beta 90.00
_cell_angle_gamma 90.00
_space_group_name_H-M_alt 'F -4 3 m'
_space_group_IT_number 216
_space_group_name_Hall 'F -4 2 3'
loop_
_atom_site_label
_atom_site_type_symbol
_atom_site_fract_x
_atom_site_fract_y
_atom_site_fract_z
Li1 Li 0.000 0.000 0.000
Sc1 Sc 0.122 0.122 0.622
Ir1 Ir 0.250 0.250 0.250
```


No. 5
An optimized crystal structure of Cs2ReIBr6. Source: Alexandria via LeMat-Bulk, functional PBE.

* ΔE_f (raw): -0.8147 eV per atom
* excess energy over the best structure of this formula in the dataset: 0 meV/atom

```
data_Cs2ReIBr6
_chemical_formula_sum 'Cs12 Re6 I6 Br36'
_cell_length_a 7.5545
_cell_length_b 7.5545
_cell_length_c 55.6647
_cell_angle_alpha 90.00
_cell_angle_beta 90.00
_cell_angle_gamma 120.00
_space_group_name_H-M_alt 'R -3 m'
_space_group_IT_number 166
_space_group_name_Hall '-R 3 2"'
loop_
_atom_site_label
_atom_site_type_symbol
_atom_site_fract_x
_atom_site_fract_y
_atom_site_fract_z
Cs1 Cs 0.0000 0.0000 0.1302
Cs2 Cs 0.0000 0.0000 0.3034
Re1 Re 0.0000 0.0000 0.0000
Re2 Re 0.0000 0.0000 0.5000
I1 I 0.0000 0.0000 0.4165
Br1 Br 0.0180 0.5090 0.6929
Br2 Br 0.0213 0.5107 0.1402
```


No. 6
An optimized crystal structure of V8Tc2Mo. Source: Alexandria via LeMat-Bulk, functional PBE.

* formation energy: -222 meV/atom

```
data_V8Tc2Mo
_chemical_formula_sum 'V8 Tc2 Mo1'
_cell_length_a 4.244
_cell_length_b 6.591
_cell_length_c 6.618
_cell_angle_alpha 61.57
_cell_angle_beta 89.90
_cell_angle_gamma 71.25
_space_group_name_H-M_alt 'P -1'
_space_group_IT_number 2
loop_
_space_group_symop_operation_xyz
'x,y,z'
'-x,-y,-z'
loop_
_atom_site_label
_atom_site_type_symbol
_atom_site_fract_x
_atom_site_fract_y
_atom_site_fract_z
V1 V 0.049 0.402 0.226
V2 V 0.136 0.227 0.683
V3 V 0.318 0.863 0.586
V4 V 0.409 0.682 0.044
Tc1 Tc 0.225 0.051 0.135
Mo1 Mo 0.500 0.500 0.500
```


No. 7
An optimized crystal structure of K2YMo. Source: Alexandria via LeMat-Bulk, functional PBE.

* excess energy over the best structure of this formula in the dataset: 512 meV/atom
* formation energy: 1293 meV/atom

```
data_K2YMo
_chemical_formula_sum 'K2 Y1 Mo1'
_cell_length_a 3.477
_cell_length_b 6.178
_cell_length_c 6.463
_cell_angle_alpha 90.00
_cell_angle_beta 90.00
_cell_angle_gamma 90.00
_space_group_name_H-M_alt 'P m m m'
_space_group_IT_number 47
loop_
_space_group_symop_operation_xyz
'x,y,z'
'-x,-y,-z'
'-x,-y,z'
'x,y,-z'
'x,-y,-z'
'-x,y,z'
'-x,y,-z'
'x,-y,z'
loop_
_atom_site_label
_atom_site_type_symbol
_atom_site_fract_x
_atom_site_fract_y
_atom_site_fract_z
K1 K 0.000 0.239 0.000
Y1 Y 0.500 0.500 0.500
Mo1 Mo 0.500 0.000 0.500
```


No. 8
An optimized crystal structure of Y2TlNi. Source: Alexandria via LeMat-Bulk, functional PBE.

* formation energy: -102 meV/atom

```
data_Y2TlNi
_chemical_formula_sum 'Y4 Tl2 Ni2'
_cell_length_a 4.335
_cell_length_b 4.335
_cell_length_c 10.024
_cell_angle_alpha 90.00
_cell_angle_beta 90.00
_cell_angle_gamma 90.00
_space_group_name_H-M_alt 'I -4 m 2'
_space_group_IT_number 119
_space_group_name_Hall 'I -4 -2'
loop_
_atom_site_label
_atom_site_type_symbol
_atom_site_fract_x
_atom_site_fract_y
_atom_site_fract_z
Y1 Y 0.000 0.000 0.000
Y2 Y 0.000 0.500 0.250
Tl1 Tl 0.000 0.000 0.500
Ni1 Ni 0.000 0.500 0.750
```


No. 9
An optimized crystal structure of NaCr2Pd. Source: Alexandria via LeMat-Bulk, functional PBE.

* excess energy over the best structure of this formula in the dataset: 265 meV/atom
* formation energy: 1161 meV/atom

```
data_NaCr2Pd
_chemical_formula_sum 'Na4 Cr8 Pd4'
_cell_length_a 6.155
_cell_length_b 6.155
_cell_length_c 6.155
_cell_angle_alpha 90.00
_cell_angle_beta 90.00
_cell_angle_gamma 90.00
_space_group_name_H-M_alt 'F m -3 m'
_space_group_IT_number 225
_space_group_name_Hall '-F 4 2 3'
loop_
_atom_site_label
_atom_site_type_symbol
_atom_site_fract_x
_atom_site_fract_y
_atom_site_fract_z
Na1 Na 0.000 0.000 0.000
Cr1 Cr 0.250 0.250 0.250
Pd1 Pd 0.000 0.000 0.500
```


No. 10
An optimized crystal structure of Co2TePb. Source: Alexandria via LeMat-Bulk, functional PBE.

* ΔE_f (raw): 0.3306 eV per atom
* excess energy over the best structure of this formula in the dataset: 206 meV/atom

```
data_Co2TePb
_chemical_formula_sum 'Co2 Te1 Pb1'
_cell_length_a 3.577
_cell_length_b 3.577
_cell_length_c 5.607
_cell_angle_alpha 90.00
_cell_angle_beta 90.00
_cell_angle_gamma 90.00
_space_group_name_H-M_alt 'P 4 m m'
_space_group_IT_number 99
loop_
_space_group_symop_operation_xyz
'x,y,z'
'-y,x,z'
'-x,-y,z'
'y,-x,z'
'-x,y,z'
'y,x,z'
'x,-y,z'
'-y,-x,z'
loop_
_atom_site_label
_atom_site_type_symbol
_atom_site_fract_x
_atom_site_fract_y
_atom_site_fract_z
Co1 Co 0.000 0.000 0.000
Co2 Co 0.500 0.500 0.319
Te1 Te 0.500 0.500 0.885
Pb1 Pb 0.000 0.000 0.477
```


No. 11
An optimized crystal structure of BaTb2ReO8. Source: Alexandria via LeMat-Bulk, functional PBE.

* ΔE_f (raw): -2.4711 eV per atom

```
data_BaTb2ReO8
_chemical_formula_sum 'Ba1 Tb2 Re1 O8'
_cell_length_a 4.719
_cell_length_b 5.281
_cell_length_c 7.134
_cell_angle_alpha 86.87
_cell_angle_beta 70.72
_cell_angle_gamma 82.97
_space_group_name_H-M_alt 'P -1'
_space_group_IT_number 2
loop_
_space_group_symop_operation_xyz
'x,y,z'
'-x,-y,-z'
loop_
_atom_site_label
_atom_site_type_symbol
_atom_site_fract_x
_atom_site_fract_y
_atom_site_fract_z
Ba1 Ba 0.000 0.000 0.000
Tb1 Tb 0.375 0.476 0.284
Re1 Re 0.000 0.000 0.500
O1 O 0.106 0.273 0.616
O2 O 0.254 0.497 0.000
O3 O 0.260 0.755 0.587
O4 O 0.323 0.044 0.258
```


No. 12
An optimized crystal structure of NaSr2ErTe4. Source: Alexandria via LeMat-Bulk, functional PBE.

* ΔE_f (raw): -1.4750 eV per atom

```
data_NaSr2ErTe4
_chemical_formula_sum 'Na1 Sr2 Er1 Te4'
_cell_length_a 7.894
_cell_length_b 4.592
_cell_length_c 7.992
_cell_angle_alpha 90.00
_cell_angle_beta 108.68
_cell_angle_gamma 90.00
_space_group_name_H-M_alt 'P 1 2/m 1'
_space_group_IT_number 10
loop_
_space_group_symop_operation_xyz
'x,y,z'
'-x,-y,-z'
'-x,y,-z'
'x,-y,z'
loop_
_atom_site_label
_atom_site_type_symbol
_atom_site_fract_x
_atom_site_fract_y
_atom_site_fract_z
Na1 Na 0.000 0.000 0.000
Sr1 Sr 0.500 0.000 0.500
Sr2 Sr 0.500 0.500 0.000
Er1 Er 0.000 0.500 0.500
Te1 Te 0.227 0.000 0.735
Te2 Te 0.234 0.500 0.257
```


No. 13
An optimized crystal structure of TiCo3. Source: Alexandria via LeMat-Bulk, functional PBE.

* formation energy: -225 meV/atom

```
data_TiCo3
_chemical_formula_sum 'Ti2 Co6'
_cell_length_a 5.1196
_cell_length_b 5.1196
_cell_length_c 4.1367
_cell_angle_alpha 90.00
_cell_angle_beta 90.00
_cell_angle_gamma 120.00
_space_group_name_H-M_alt 'P 63/m m c'
_space_group_IT_number 194
_space_group_name_Hall '-P 6c 2c'
loop_
_atom_site_label
_atom_site_type_symbol
_atom_site_fract_x
_atom_site_fract_y
_atom_site_fract_z
Ti1 Ti 0.3333 0.6667 0.2500
Co1 Co 0.1623 0.3246 0.7500
```